Compound: Nd3HoEr2
Source: Alexandria
Functional: PBE
Structure: optimized geometry

Calculated formation energy in eV/atom: 0.110
Space-group type: C2/m
Density of states at the Fermi level in states/eV/f.u.: 9.52
Energy relative to the lowest polymorph listed for this composition in meV/atom: 48

Unit cell a=3.5464 b=6.8318 c=17.5920 alpha=79.76 beta=84.21 gamma=74.96
Closest atoms and distances in Å follow each position.
Fractional positions:
Er  0.8035  0.5591  0.8340  7 Nd 3.36-3.58, 2 Ho 3.50, 2 Er 3.55
Er  0.6325  0.2358  0.4992  3 Nd 3.44-3.50, 5 Er 3.49-3.58, 2 Ho 3.53-3.66
Nd  0.0682  0.0315  0.8320  3 Er 3.49-3.58, 8 Nd 3.55-3.84, 2 Ho 3.73
Nd  0.3723  0.2655  0.9899  3 Er 3.46-3.56, 9 Nd 3.47-3.84
Nd  0.9318  0.9685  0.1680  3 Er 3.49-3.58, 8 Nd 3.55-3.84, 2 Ho 3.73
Ho  0.4594  0.3994  0.6817  4 Er 3.50-3.66, 5 Nd 3.54-3.73, 2 Ho 3.55
Nd  0.2655  0.1314  0.3377  4 Er 3.36-3.50, 3 Ho 3.54-3.57, 2 Nd 3.55
Ho  0.5406  0.6006  0.3183  4 Er 3.50-3.66, 5 Nd 3.54-3.73, 2 Ho 3.55
Er  0.3675  0.7642  0.5008  3 Nd 3.44-3.50, 5 Er 3.49-3.58, 2 Ho 3.53-3.66
Nd  0.7345  0.8686  0.6623  4 Er 3.36-3.50, 3 Ho 3.54-3.57, 2 Nd 3.55
Nd  0.6277  0.7345  0.0101  3 Er 3.46-3.56, 9 Nd 3.47-3.84
Er  0.1965  0.4409  0.1660  7 Nd 3.36-3.58, 2 Ho 3.50, 2 Er 3.55

Compound: PmSmTmAl
Source: Alexandria
Functional: PBE
Structure: optimized geometry

Calculated formation energy in eV/atom: -0.073
Space-group type: F-43m
Density of states at the Fermi level in states/eV/f.u.: 6.49
Energy relative to the lowest polymorph listed for this composition in meV/atom: 108

Unit cell a=5.4010 b=5.4010 c=5.4010 alpha=60.00 beta=60.00 gamma=60.00
Closest atoms and distances in Å follow each position.
Fractional positions:
Tm  0.7500  0.7500  0.7500  4 Pm 3.31, 4 Sm 3.31
Pm  0.0000  0.0000  0.0000  4 Tm 3.31, 4 Al 3.31
Sm  0.5000  0.5000  0.5000  4 Al 3.31, 4 Tm 3.31
Al  0.2500  0.2500  0.2500  4 Pm 3.31, 4 Sm 3.31

Compound: Np2CuB2Ir5
Source: Alexandria
Functional: PBE
Structure: optimized geometry

Calculated formation energy in eV/atom: -0.294
Space-group type: P4/mbm
Density of states at the Fermi level in states/eV/f.u.: 19.15

Unit cell a=3.3717 b=9.2924 c=9.2924 alpha=90.00 beta=90.00 gamma=90.00
Closest atoms and distances in Å follow each position.
Fractional positions:
Cu  0.0000  0.0000  0.0000  8 Ir 2.69
Ir  0.5000  0.5000  0.0000  4 B 2.33
Ir  0.5000  0.2852  0.5704  2 B 2.31
B  0.0000  0.8771  0.3771  6 Ir 2.31-2.33
B  0.0000  0.1229  0.6229  6 Ir 2.31-2.33
Np  0.0000  0.8226  0.6774  3 B 2.62-2.84, 6 Ir 2.88-2.91
Np  0.0000  0.1774  0.3226  3 B 2.62-2.84, 6 Ir 2.88-2.91
Ir  0.5000  0.5704  0.7148  2 B 2.31
Ir  0.5000  0.7852  0.9296  2 B 2.31
Ir  0.5000  0.0704  0.7852  2 B 2.31
Ir  0.5000  0.4296  0.2852  2 B 2.31
Cu  0.0000  0.5000  0.5000  8 Ir 2.69
B  0.0000  0.6229  0.8771  6 Ir 2.31-2.33
Np  0.0000  0.3226  0.8226  3 B 2.62-2.84, 6 Ir 2.88-2.91
Ir  0.5000  0.7148  0.4296  2 B 2.31
Ir  0.5000  0.0000  0.5000  4 B 2.33
Ir  0.5000  0.2148  0.0704  2 B 2.31
B  0.0000  0.3771  0.1229  6 Ir 2.31-2.33
Ir  0.5000  0.9296  0.2148  2 B 2.31
Np  0.0000  0.6774  0.1774  3 B 2.62-2.84, 6 Ir 2.88-2.91

Compound: Ac3SbTe6
Source: Alexandria
Functional: PBE
Structure: optimized geometry

Space-group type: Cmc2_1
Formation energy from raw total energies in eV per atom: -1.1802

Unit cell a=8.0055 b=10.1936 c=10.1936 alpha=102.68 beta=90.00 gamma=90.00
Closest atoms and distances in Å follow each position.
Fractional positions:
Te  0.6874  0.5784  0.0934  1 Sb 2.88
Te  0.6874  0.9066  0.4216  1 Sb 2.88
Sb  0.5047  0.8272  0.1728  4 Te 2.88-3.22
Te  0.6464  0.2337  0.7663  1 Sb 3.03
Ac  0.9858  0.0821  0.2818  7 Te 3.28-3.53
Ac  0.4858  0.2818  0.0821  7 Te 3.28-3.53
Sb  0.0047  0.1728  0.8272  4 Te 2.88-3.22
Te  0.1874  0.0934  0.5784  1 Sb 2.88
Te  0.6831  0.6319  0.6951  4 Ac 3.28-3.36
Te  0.1464  0.7663  0.2337  1 Sb 3.03
Ac  0.8820  0.5987  0.4013  7 Te 3.34-3.47
Te  0.1874  0.4216  0.9066  1 Sb 2.88
Ac  0.3820  0.4013  0.5987  7 Te 3.34-3.47
Te  0.7396  0.9915  0.0085  2 Sb 3.22-3.58, 4 Ac 3.37-3.53
Te  0.1831  0.3681  0.3049  4 Ac 3.28-3.36
Te  0.6831  0.3049  0.3681  4 Ac 3.28-3.36
Te  0.1831  0.6951  0.6319  4 Ac 3.28-3.36
Ac  0.9858  0.7182  0.9179  7 Te 3.28-3.53
Te  0.2396  0.0085  0.9915  2 Sb 3.22-3.58, 4 Ac 3.37-3.53
Ac  0.4858  0.9179  0.7182  7 Te 3.28-3.53

Compound: ZnNiAu2
Source: Alexandria
Functional: PBE
Structure: optimized geometry

Calculated formation energy in eV/atom: -0.086
Space-group type: Cm
Density of states at the Fermi level in states/eV/f.u.: 1.73

Unit cell a=5.0421 b=5.0421 c=4.6402 alpha=71.80 beta=71.80 gamma=33.13
Closest atoms and distances in Å follow each position.
Fractional positions:
Au  0.9860  0.9860  0.0414  4 Ni 2.73-2.76, 3 Zn 2.75-2.77, 5 Au 2.88-3.03
Zn  0.2294  0.2294  0.2313  2 Ni 2.51, 7 Au 2.74-2.77
Au  0.7676  0.7676  0.7021  3 Ni 2.69-2.80, 4 Zn 2.74-2.76, 3 Au 2.88-3.02
Ni  0.5170  0.5170  0.5252  2 Zn 2.51, 7 Au 2.69-2.80

Compound: PuTi8Mn2
Source: Alexandria
Functional: PBE
Structure: optimized geometry

Calculated formation energy in eV/atom: 0.026
Space-group type: C2
Density of states at the Fermi level in states/eV/f.u.: 15.64

Unit cell a=3.0882 b=7.3048 c=9.1309 alpha=67.67 beta=80.25 gamma=90.00
Closest atoms and distances in Å follow each position.
Fractional positions:
Ti  0.8081  0.0497  0.3226  3 Mn 2.49-2.66
Ti  0.6946  0.3175  0.5635  2 Mn 2.42-2.44
Ti  0.2884  0.6831  0.3759  2 Mn 2.42-2.44
Mn  0.6851  0.7060  0.5766  7 Ti 2.42-2.66
Pu  0.0992  0.0002  0.9697  2 Ti 2.76, 2 Pu 3.09
Ti  0.5367  0.7131  0.8873  1 Pu 2.76, 1 Mn 2.82, 9 Ti 2.82-3.09
Ti  0.8856  0.5330  0.1741  2 Mn 2.45-2.46
Mn  0.2920  0.2946  0.3628  7 Ti 2.42-2.66
Ti  0.4541  0.2873  0.0521  1 Pu 2.76, 1 Mn 2.82, 9 Ti 2.82-3.09
Ti  0.0898  0.4675  0.7653  2 Mn 2.45-2.46
Ti  0.1611  0.9509  0.6168  3 Mn 2.49-2.66

Compound: DyTh2AgC
Source: Alexandria
Functional: PBE
Structure: optimized geometry

Calculated formation energy in eV/atom: -0.123
Space-group type: P4/mmm
Density of states at the Fermi level in states/eV/f.u.: 6.41

Unit cell a=5.0576 b=5.0576 c=4.9042 alpha=90.00 beta=90.00 gamma=90.00
Closest atoms and distances in Å follow each position.
Fractional positions:
C  0.0000  0.0000  0.0001  2 Dy 2.45, 4 Th 2.53
Th  0.0000  0.5000  0.0000  2 C 2.53
Dy  0.0000  0.0000  0.5000  2 C 2.45
Ag  0.5000  0.5000  0.5000  8 Th 3.52, 4 Dy 3.58
Th  0.5000  0.0000  0.0000  2 C 2.53

Compound: Re2AgPO
Source: Alexandria
Functional: PBE
Structure: optimized geometry

Space-group type: P4/mmm
Density of states at the Fermi level in states/eV/f.u.: 4.20
Formation energy from raw total energies in eV per atom: 0.8590

Unit cell a=3.9473 b=5.0138 c=3.9473 alpha=90.00 beta=90.00 gamma=90.00
Closest atoms and distances in Å follow each position.
Fractional positions:
Re  0.0000  0.0000  0.5000  2 O 1.97
Ag  0.0000  0.5000  0.0000  2 O 2.51, 4 P 2.79
P  0.5000  0.5000  0.5000  4 Ag 2.79
Re  0.5000  0.0000  0.0000  2 O 1.97
O  0.0000  0.0000  0.0000  4 Re 1.97

Compound: EuDy3Tc
Source: Alexandria
Functional: PBE
Structure: optimized geometry

Calculated formation energy in eV/atom: 0.052
Space-group type: Pm-3m
Density of states at the Fermi level in states/eV/f.u.: 3.94

Unit cell a=5.4427 b=5.4427 c=5.4427 alpha=90.00 beta=90.00 gamma=90.00
Closest atoms and distances in Å follow each position.
Fractional positions:
Dy  0.0000  0.5000  0.0000  2 Tc 2.72
Tc  0.0000  0.0000  0.0000  6 Dy 2.72
Dy  0.0000  0.0000  0.5000  2 Tc 2.72
Eu  0.5000  0.5000  0.5000  12 Dy 3.85
Dy  0.5000  0.0000  0.0000  2 Tc 2.72

Compound: RbAg2Ge2
Source: Alexandria
Functional: PBE
Structure: optimized geometry

Calculated formation energy in eV/atom: 0.148
Space-group type: P4/mbm
Density of states at the Fermi level in states/eV/f.u.: 1.73
Energy relative to the lowest polymorph listed for this composition in meV/atom: 108

Unit cell a=8.7981 b=8.7981 c=2.9191 alpha=90.00 beta=90.00 gamma=90.00
Closest atoms and distances in Å follow each position.
Fractional positions:
Rb  0.5000  0.5000  0.0000  2 Rb 2.92
Ag  0.1368  0.3632  0.0000  6 Ge 2.89-3.06, 2 Ag 2.92
Ge  0.3530  0.1470  0.5000  6 Ag 2.89-3.06, 2 Ge 2.92
Ag  0.6368  0.1368  0.0000  6 Ge 2.89-3.06, 2 Ag 2.92
Ge  0.6470  0.8530  0.5000  6 Ag 2.89-3.06, 2 Ge 2.92
Ag  0.3632  0.8632  0.0000  6 Ge 2.89-3.06, 2 Ag 2.92
Ge  0.1470  0.6470  0.5000  6 Ag 2.89-3.06, 2 Ge 2.92
Rb  0.0000  0.0000  0.0000  2 Rb 2.92
Ge  0.8530  0.3530  0.5000  6 Ag 2.89-3.06, 2 Ge 2.92
Ag  0.8632  0.6368  0.0000  6 Ge 2.89-3.06, 2 Ag 2.92

Compound: SbPdS2
Source: Alexandria
Functional: PBE
Structure: optimized geometry

Space-group type: I-42d
Density of states at the Fermi level in states/eV/f.u.: 3.26
Formation energy from raw total energies in eV per atom: 0.0087

Unit cell a=5.8388 b=5.8388 c=7.1409 alpha=65.87 beta=65.87 gamma=90.00
Closest atoms and distances in Å follow each position.
Fractional positions:
S  0.8750  0.8346  0.7500  2 Pd 2.40, 2 Sb 2.67
Sb  0.7500  0.2500  0.5000  4 S 2.67
Sb  0.0000  0.0000  0.0000  4 S 2.67
Pd  0.5000  0.5000  0.0000  4 S 2.40
S  0.5846  0.1250  0.2500  2 Pd 2.40, 2 Sb 2.67
S  0.3750  0.4154  0.7500  2 Pd 2.40, 2 Sb 2.67
S  0.1654  0.6250  0.2500  2 Pd 2.40, 2 Sb 2.67
Pd  0.2500  0.7500  0.5000  4 S 2.40